(1)
Here is a relaxed Cd3BiAs crystal from the Alexandria database. Energies are from PBE-GGA.

The structure in POSCAR format:
```
Cd3BiAs
1.0
-4.9347 -3.0011 -4.2914
4.4498 -7.8112 0.3455
-6.0223 0.3128 6.7018
Cd Bi As
12 4 4
direct
0.0260 0.6339 0.8803
0.9740 0.3661 0.1197
0.5261 0.8661 0.1197
0.4739 0.1339 0.8803
0.5889 0.4538 0.7874
0.4111 0.5462 0.2126
0.0886 0.0461 0.2123
0.9114 0.9539 0.7877
0.0965 0.2010 0.6431
0.9035 0.7990 0.3569
0.5965 0.2990 0.3574
0.4035 0.7010 0.6426
0.8043 0.6072 0.5788
0.1957 0.3928 0.4212
0.3041 0.8931 0.4211
0.6959 0.1069 0.5789
0.2517 0.3975 0.9118
0.7483 0.6025 0.0882
0.7514 0.1028 0.0882
0.2486 0.8972 0.9118
```

## Properties
Calculated total energy = -2.231 eV/atom
Space group = P2_1/c (14)
DFT formation energy = 24 meV per atom
Size of the total moment = 0.000 μB/atom
Density of states at the Fermi level = 0.324 states/eV/atom
Calculated volume = 550.50 Å³/cell

***

(2)
Here is a relaxed CdBiAs crystal from the Alexandria database. Energies are from PBE-GGA.

The structure in POSCAR format:
```
CdBiAs
1.0
4.1571 0.0000 0.0000
-2.0785 3.6001 0.0000
0.0000 0.0000 5.4425
As Bi Cd
1 1 1
direct
0.6667 0.3333 0.3264
0.3333 0.6667 0.6383
0.0000 0.0000 0.0353
```

## Properties
Calculated total energy = -3.097 eV/atom
Space group = P3m1 (156)
DFT formation energy = 51 meV per atom
Size of the total moment = 0.000 μB/atom
Density of states at the Fermi level = 0.326 states/eV/atom
Calculated volume = 81.45 Å³/cell

***

(3)
Here is a relaxed Cd3BiAs crystal from the Alexandria database. Energies are from PBE-GGA.

The structure in POSCAR format:
```
Cd3BiAs
1.0
4.8347 0.0000 0.0000
0.0000 6.4294 -3.2006
0.0000 -0.7724 10.6560
Cd Bi As
6 2 2
direct
0.7500 0.1703 0.3974
0.7500 0.6576 0.8751
0.2500 0.8784 0.1249
0.2500 0.3657 0.6026
0.2500 0.8599 0.6082
0.7500 0.6761 0.3918
0.7500 0.1485 0.6775
0.2500 0.3876 0.3225
0.2500 0.7820 0.8303
0.7500 0.7540 0.1697
```

## Properties
Calculated total energy = -2.235 eV/atom
Space group = P2_1/m (11)
DFT formation energy = 21 meV per atom
Size of the total moment = 0.000 μB/atom
Density of states at the Fermi level = 0.087 states/eV/atom
Calculated volume = 319.28 Å³/cell

***

(4)
Here is a relaxed CrCdBi2As crystal from the Alexandria database. Energies are from PBE-GGA.

The structure in POSCAR format:
```
CrCdBi2As
1.0
-3.6525 4.1360 -0.7474
-3.7117 -3.0709 1.1452
0.4930 1.4050 5.3655
Cr As Bi Cd
1 1 2 1
direct
0.0000 0.5000 0.0000
0.5000 0.5000 0.5000
0.0000 0.0000 0.5000
0.5000 0.0000 0.0000
0.0000 0.0000 0.0000
```

## Properties
Calculated total energy = -3.116 eV/atom
Space group = P4/mmm (123)
DFT formation energy = 1474 meV per atom
Size of the total moment = 0.029 μB/atom
Density of states at the Fermi level = 1.317 states/eV/atom
Calculated volume = 153.53 Å³/cell

***

(5)
Here is a relaxed Cd2BiAsH crystal from the Alexandria database. Energies are from PBE-GGA.

The structure in POSCAR format:
```
Cd2BiAsH
1.0
-2.9832 -1.9889 -4.3189
-3.3544 -2.7331 3.5757
-2.0659 2.7472 0.1618
H As Bi Cd
1 1 1 2
direct
0.0000 0.0000 0.5000
0.0000 0.0000 0.0000
0.5000 0.5000 0.5000
0.0000 0.5000 0.0000
0.5000 0.0000 0.0000
```

## Properties
Calculated total energy = -2.600 eV/atom
Space group = P4/mmm (123)
Size of the total moment = 0.000 μB/atom
Density of states at the Fermi level = 0.291 states/eV/atom
Calculated volume = 108.42 Å³/cell

***

(6)
Here is a relaxed Cd4BiAsI2 crystal from the Alexandria database. Energies are from PBE-GGA.

The structure in POSCAR format:
```
Cd4BiAsI2
1.0
9.1640 -0.6932 0.0492
-0.6996 9.1635 0.0491
-4.1343 -4.1372 5.9293
Cd Bi As I
8 2 2 4
direct
0.1912 0.7960 0.9937
0.7040 0.3088 0.5063
0.2960 0.6912 0.4937
0.8088 0.2040 0.0063
0.7794 0.7210 0.9700
0.7790 0.7206 0.5300
0.2210 0.2794 0.4700
0.2206 0.2790 0.0300
0.0000 0.5000 0.0000
0.0000 0.5000 0.5000
0.5000 0.5000 0.5000
0.0000 0.0000 0.0000
0.5000 0.0000 0.0000
0.5000 0.0000 0.5000
0.0000 0.0000 0.5000
0.5000 0.5000 0.0000
```

## Properties
Calculated total energy = -2.046 eV/atom
Space group = C2/c (15)
Size of the total moment = 0.000 μB/atom
Density of states at the Fermi level = 0.269 states/eV/atom
Calculated volume = 499.04 Å³/cell
ΔE_f (raw) = -0.134 eV/atom

***

(7)
Here is a relaxed Cd6BiAs2I2 crystal from the Alexandria database. Energies are from PBE-GGA.

The structure in POSCAR format:
```
Cd6BiAs2I2
1.0
8.7337 0.0000 0.0000
-4.3668 5.7473 1.5719
0.0000 -1.6504 7.0197
Cd Bi As I
6 1 2 2
direct
0.7471 0.4943 0.4821
0.3138 0.0771 0.1813
0.2367 0.9229 0.8187
0.6862 0.9229 0.8187
0.7633 0.0771 0.1813
0.2529 0.5057 0.5179
0.5000 0.0000 0.5000
0.9391 0.8782 0.6406
0.0609 0.1218 0.3594
0.7624 0.5248 0.0776
0.2376 0.4752 0.9224
```

## Properties
Calculated total energy = -2.030 eV/atom
Space group = C2/m (12)
Size of the total moment = 0.000 μB/atom
Density of states at the Fermi level = 0.269 states/eV/atom
Calculated volume = 375.01 Å³/cell
ΔE_f (raw) = -0.050 eV/atom

***

(8)
Here is a relaxed CdBiAs2Ir crystal from the Alexandria database. Energies are from PBE-GGA.

The structure in POSCAR format:
```
CdBiAs2Ir
1.0
4.6901 0.0000 0.0000
0.0000 6.0798 0.0000
0.0000 0.0000 4.6901
As Ir Bi Cd
2 1 1 1
direct
0.0000 0.0000 0.5000
0.5000 0.0000 0.0000
0.0000 0.0000 0.0000
0.0000 0.5000 0.0000
0.5000 0.5000 0.5000
```

## Properties
Calculated total energy = -4.221 eV/atom
Space group = P4/mmm (123)
DFT formation energy = 370 meV per atom
Size of the total moment = 0.000 μB/atom
Density of states at the Fermi level = 0.595 states/eV/atom
Calculated volume = 133.74 Å³/cell

***

(9)
Here is a relaxed KCdBi2As crystal from the Alexandria database. Energies are from PBE-GGA.

The structure in POSCAR format:
```
KCdBi2As
1.0
-1.5305 1.1388 5.3196
-4.4527 -3.8164 -0.4641
3.3612 -4.1472 1.8548
K As Bi Cd
1 1 2 1
direct
0.0000 0.5000 0.0000
0.5000 0.5000 0.5000
0.0000 0.0000 0.5000
0.5000 0.0000 0.0000
0.0000 0.0000 0.0000
```

## Properties
Calculated total energy = -2.319 eV/atom
Space group = P4/mmm (123)
DFT formation energy = 566 meV per atom
Size of the total moment = 0.000 μB/atom
Density of states at the Fermi level = 0.623 states/eV/atom
Calculated volume = 187.88 Å³/cell

***

(10)
Here is a relaxed Mg2CdBiAs crystal from the Alexandria database. Energies are from PBE-GGA.

The structure in POSCAR format:
```
Mg2CdBiAs
1.0
-0.8028 1.5509 5.1045
1.4910 -5.0734 1.7760
5.1363 1.6200 0.3156
Mg As Bi Cd
2 1 1 1
direct
0.0000 0.0000 0.5000
0.5000 0.0000 0.0000
0.5000 0.5000 0.5000
0.0000 0.0000 0.0000
0.0000 0.5000 0.0000
```

## Properties
Calculated total energy = -1.985 eV/atom
Space group = P4/mmm (123)
DFT formation energy = 542 meV per atom
Size of the total moment = 0.038 μB/atom
Density of states at the Fermi level = 0.770 states/eV/atom
Calculated volume = 162.36 Å³/cell

***

(11)
Here is a relaxed Cd2BiAsN crystal from the Alexandria database. Energies are from PBE-GGA.

The structure in POSCAR format:
```
Cd2BiAsN
1.0
5.0176 0.0000 0.0000
0.0000 5.7619 0.0000
0.0000 0.0000 5.0176
As N Bi Cd
1 1 1 2
direct
0.0000 0.0000 0.0000
0.5000 0.5000 0.5000
0.0000 0.5000 0.0000
0.0000 0.0000 0.5000
0.5000 0.0000 0.0000
```

## Properties
Calculated total energy = -2.301 eV/atom
Space group = P4/mmm (123)
Size of the total moment = 0.000 μB/atom
Density of states at the Fermi level = 0.555 states/eV/atom
Calculated volume = 145.06 Å³/cell
ΔE_f (raw) = 1.436 eV/atom

***

(12)
Here is a relaxed NbCd2BiAs crystal from the Alexandria database. Energies are from PBE-GGA.

The structure in POSCAR format:
```
NbCd2BiAs
1.0
-2.1961 1.7248 -4.7938
-5.0844 -1.0718 1.9436
-0.3205 5.1406 1.9964
As Nb Bi Cd
1 1 1 2
direct
0.0000 0.0000 0.5000
0.5000 0.5000 0.5000
0.0000 0.0000 0.0000
0.0000 0.5000 0.0000
0.5000 0.0000 0.0000
```

## Properties
Calculated total energy = -2.701 eV/atom
Space group = P4/mmm (123)
DFT formation energy = 1385 meV per atom
Size of the total moment = 0.648 μB/atom
Density of states at the Fermi level = 0.904 states/eV/atom
Calculated volume = 170.02 Å³/cell